# Re2PbW (PBE-GGA, optimized geometry)
# spin magnetization: 0.000 μB/atom
# formation enthalpy at 0 K: 0.998 eV/atom
# total energy: -9.39 eV/atom
data_Re2PbW
_symmetry_space_group_name_H-M 'F -4 3 m'
_symmetry_Int_Tables_number 216
_symmetry_space_group_name_Hall 'F -4 2 3'
_cell_length_a 6.496
_cell_length_b 6.496
_cell_length_c 6.496
_cell_angle_alpha 90.00
_cell_angle_beta 90.00
_cell_angle_gamma 90.00
loop_
_atom_site_label
_atom_site_fract_x
_atom_site_fract_y
_atom_site_fract_z
Re1 0.000 0.000 0.000
Re2 0.250 0.250 0.250
Pb1 0.000 0.000 0.500
W1 0.250 0.250 0.750


# Re2PbW (PBE-GGA, optimized geometry)
# spin magnetization: 0.000 μB/atom
# formation enthalpy at 0 K: 0.860 eV/atom
# total energy: -9.53 eV/atom
data_Re2PbW
_symmetry_space_group_name_H-M 'I m m 2'
_symmetry_Int_Tables_number 44
_symmetry_space_group_name_Hall 'I 2 -2'
_cell_length_a 3.277
_cell_length_b 4.459
_cell_length_c 9.319
_cell_angle_alpha 90.00
_cell_angle_beta 90.00
_cell_angle_gamma 90.00
loop_
_atom_site_label
_atom_site_fract_x
_atom_site_fract_y
_atom_site_fract_z
Re1 0.000 0.000 0.000
Re2 0.000 0.500 0.250
Pb1 0.000 0.000 0.499
W1 0.000 0.500 0.745


# Re2PbW (PBE-GGA, optimized geometry)
# spin magnetization: 0.000 μB/atom
# formation enthalpy at 0 K: 0.710 eV/atom
# total energy: -9.68 eV/atom
data_Re2PbW
_symmetry_space_group_name_H-M 'P 1 m 1'
_symmetry_Int_Tables_number 6
_symmetry_space_group_name_Hall 'P -2y'
_cell_length_a 2.905
_cell_length_b 3.932
_cell_length_c 6.652
_cell_angle_alpha 90.00
_cell_angle_beta 96.78
_cell_angle_gamma 90.00
loop_
_atom_site_label
_atom_site_fract_x
_atom_site_fract_y
_atom_site_fract_z
Re1 0.000 0.000 0.000
Re2 0.406 0.500 0.833
Pb1 0.976 0.000 0.514
W1 0.480 0.500 0.209


# RePb2W (PBE-GGA, optimized geometry)
# spin magnetization: 0.126 μB/atom
# formation enthalpy at 0 K: 1.287 eV/atom
# total energy: -6.92 eV/atom
data_RePb2W
_symmetry_space_group_name_H-M 'R -3 m'
_symmetry_Int_Tables_number 166
_symmetry_space_group_name_Hall '-R 3 2"'
_cell_length_a 3.1552
_cell_length_b 3.1552
_cell_length_c 27.6493
_cell_angle_alpha 90.00
_cell_angle_beta 90.00
_cell_angle_gamma 120.00
loop_
_atom_site_label
_atom_site_fract_x
_atom_site_fract_y
_atom_site_fract_z
Re1 0.0000 0.0000 0.0000
Pb1 0.0000 0.0000 0.2520
W1 0.0000 0.0000 0.5000


# Re2PbW (PBE-GGA, optimized geometry)
# spin magnetization: 0.000 μB/atom
# formation enthalpy at 0 K: 0.737 eV/atom
# total energy: -9.65 eV/atom
data_Re2PbW
_symmetry_space_group_name_H-M 'P 1 2/m 1'
_symmetry_Int_Tables_number 10
_symmetry_space_group_name_Hall '-P 2y'
_cell_length_a 2.951
_cell_length_b 4.018
_cell_length_c 6.172
_cell_angle_alpha 90.00
_cell_angle_beta 94.14
_cell_angle_gamma 90.00
loop_
_atom_site_label
_atom_site_fract_x
_atom_site_fract_y
_atom_site_fract_z
Re1 0.047 0.000 0.197
Pb1 0.500 0.500 0.500
W1 0.500 0.500 0.000


# Re2PbW (PBE-GGA, optimized geometry)
# spin magnetization: 0.000 μB/atom
# formation enthalpy at 0 K: 0.655 eV/atom
# total energy: -9.73 eV/atom
data_Re2PbW
_symmetry_space_group_name_H-M 'P 4 m m'
_symmetry_Int_Tables_number 99
_symmetry_space_group_name_Hall 'P 4 -2'
_cell_length_a 2.955
_cell_length_b 2.955
_cell_length_c 8.061
_cell_angle_alpha 90.00
_cell_angle_beta 90.00
_cell_angle_gamma 90.00
loop_
_atom_site_label
_atom_site_fract_x
_atom_site_fract_y
_atom_site_fract_z
Re1 0.000 0.000 0.000
Re2 0.500 0.500 0.206
Pb1 0.500 0.500 0.722
W1 0.000 0.000 0.436


Q: Among the records above, which one has the lowest formation enthalpy at 0 K?
A: number 6